Compound: KCu2Se
Source: Alexandria via LeMat-Bulk
Functional: PBE
Structure: relaxed

space group: Pmmm (47)

Lattice parameters (Å, degrees): 4.9182 2.9736 5.4621 89.95 90.00 90.00
Last column: nearest neighbours and their distance in Å.
Fractional positions:
Cu  0.0000  0.7494  0.5124  2 Cu 2.60-2.87, 2 Se 2.78
Se  0.5000  0.7500  0.7500  4 Cu 2.78, 2 Se 2.97, 4 K 3.11
Cu  0.0000  0.7506  0.9876  2 Cu 2.60-2.87, 2 Se 2.78
K  0.5000  0.2500  0.2500  2 K 2.97, 4 Se 3.11, 8 Cu 3.21

---

Compound: KCuSe3
Source: Alexandria via LeMat-Bulk
Functional: PBE
Structure: relaxed

distance to the lowest polymorph of the same formula: 0 meV per atom
space group: P-1 (2)

Lattice parameters (Å, degrees): 6.3855 7.3469 6.1013 101.56 104.79 100.20
Last column: nearest neighbours and their distance in Å.
Fractional positions:
K  0.0055  0.2042  0.0179  5 Se 3.30-3.67, 1 Cu 3.60
K  0.4458  0.6980  0.6293  5 Se 3.30-3.67, 1 Cu 3.60
Se  0.9013  0.5307  0.5622  2 Cu 2.43-2.55, 1 Se 2.46
Se  0.4129  0.2018  0.6665  1 Se 2.46, 1 Cu 2.54
Cu  0.7816  0.6944  0.2362  5 Se 2.42-2.55
Cu  0.6699  0.2066  0.4110  5 Se 2.42-2.55
Se  0.9574  0.0215  0.4617  2 Cu 2.42-2.47
Se  0.4940  0.8797  0.1854  2 Cu 2.42-2.47
Se  0.5499  0.3706  0.0852  2 Cu 2.42-2.55, 1 Se 2.46
Se  0.0380  0.7003  0.9806  1 Se 2.46, 1 Cu 2.53

---

Compound: KCu2Se
Source: Alexandria via LeMat-Bulk
Functional: PBE
Structure: relaxed

space group: Pmmm (47)

Lattice parameters (Å, degrees): 2.8588 4.0894 7.2982 90.00 90.00 90.00
Last column: nearest neighbours and their distance in Å.
Fractional positions:
K  0.5000  0.5000  0.2500  2 K 2.86
Cu  0.0000  0.0000  0.5770  1 Cu 2.53, 4 Se 2.80
Se  0.5000  0.5000  0.7500  8 Cu 2.80, 2 Se 2.86
Cu  0.0000  0.0000  0.9230  1 Cu 2.53, 4 Se 2.80

---

Compound: K2Cu5Se4
Source: Alexandria via LeMat-Bulk
Functional: PBE
Structure: relaxed

space group: Fmmm (69)

Lattice parameters (Å, degrees): 5.5179 6.9118 7.3248 81.35 67.87 66.47
Last column: nearest neighbours and their distance in Å.
Fractional positions:
Cu  0.0000  0.5000  0.0000  4 Se 2.54, 2 Cu 2.76
Cu  0.5000  0.0000  0.0000  4 Se 2.55
Se  0.7755  0.7017  0.7474  5 Cu 2.52-2.55
Cu  0.7500  0.5000  0.5000  4 Se 2.52, 2 Cu 2.76
Cu  0.2500  0.5000  0.5000  4 Se 2.52, 2 Cu 2.76
Se  0.2245  0.2983  0.2526  5 Cu 2.52-2.55
K  0.1555  0.0000  0.6890  6 Se 3.37-3.51, 6 Cu 3.47-3.69, 2 K 3.77
Se  0.5228  0.7017  0.2526  5 Cu 2.52-2.55
K  0.8445  0.0000  0.3110  6 Se 3.37-3.51, 6 Cu 3.47-3.69, 2 K 3.77
Cu  0.5000  0.5000  0.0000  4 Se 2.54, 2 Cu 2.76
Se  0.4772  0.2983  0.7474  5 Cu 2.52-2.55

---

Compound: KCu2Se
Source: Alexandria via LeMat-Bulk
Functional: PBE
Structure: relaxed

space group: Cm (8)

Lattice parameters (Å, degrees): 4.4642 4.4642 6.4991 70.22 70.22 51.91
Last column: nearest neighbours and their distance in Å.
Fractional positions:
Cu  0.6973  0.6973  0.9350  3 Cu 2.44-2.56, 2 Se 2.54
K  0.4897  0.4897  0.5088  4 Se 3.46-3.60, 7 Cu 3.47-3.83
Se  0.3013  0.3013  0.1064  4 Cu 2.53-2.54
Cu  0.0116  0.0116  0.9498  3 Cu 2.44-2.56, 2 Se 2.53

---

Compound: KCu2Se
Source: Alexandria via LeMat-Bulk
Functional: PBE
Structure: relaxed

space group: Pm (6)

Lattice parameters (Å, degrees): 4.1427 4.9382 5.1447 90.55 90.00 90.00
Last column: nearest neighbours and their distance in Å.
Fractional positions:
Se  0.5000  0.7399  0.0005  4 Cu 2.40-2.54
K  0.0000  0.5184  0.4996  8 Cu 3.45-3.69, 4 Se 3.47-3.48
Cu  0.0000  0.9873  0.0004  2 Se 2.40, 2 Cu 2.46
Cu  0.5000  0.2544  0.9995  2 Se 2.40-2.54, 2 Cu 2.46

---

no.,formation energy (no corrections) (eV per formula unit),V (A^3/atom)
1,0.79,19.97
2,-2.26,26.31
3,1.31,21.33
4,-3.47,21.57
5,-0.49,23.61
6,-0.73,26.31